## KPd2Cl6 (PBE)

Data for an optimized crystal structure of KPd2Cl6.

Computed properties:
E ... -3.21 eV/atom
Formation energy without anion corrections ... -702 meV/atom

```
data_KPd2Cl6
_chemical_formula_sum 'K1 Pd2 Cl6'
_space_group_name_H-M_alt 'P -3 1 m'
_space_group_IT_number 162
_space_group_name_Hall '-P 3 2'
_cell_length_a 6.5208
_cell_length_b 6.5208
_cell_length_c 6.8923
_cell_angle_alpha 90.00
_cell_angle_beta 90.00
_cell_angle_gamma 120.00
loop_
_atom_site_label
_atom_site_type_symbol
_atom_site_fract_x
_atom_site_fract_y
_atom_site_fract_z
_atom_site_occupancy
K1 K 0.0000 0.0000 0.0000 1
Pd1 Pd 0.3333 0.6667 0.5000 1
Cl1 Cl 0.0000 0.3717 0.7006 1
```

***

## RbDy2MnSe4 (PBE)

Data for an optimized crystal structure of RbDy2MnSe4.

Computed properties:
E ... -5.60 eV/atom
Formation energy without anion corrections ... -1436 meV/atom

```
data_RbDy2MnSe4
_chemical_formula_sum 'Rb4 Dy8 Mn4 Se16'
_space_group_name_H-M_alt 'C m c m'
_space_group_IT_number 63
_space_group_name_Hall '-C 2c 2'
_cell_length_a 4.155
_cell_length_b 14.435
_cell_length_c 14.493
_cell_angle_alpha 90.00
_cell_angle_beta 90.00
_cell_angle_gamma 90.00
loop_
_atom_site_label
_atom_site_type_symbol
_atom_site_fract_x
_atom_site_fract_y
_atom_site_fract_z
_atom_site_occupancy
Rb1 Rb 0.000 0.108 0.250 1
Dy1 Dy 0.000 0.368 0.060 1
Mn1 Mn 0.000 0.168 0.750 1
Se1 Se 0.000 0.000 0.000 1
Se2 Se 0.000 0.262 0.608 1
Se3 Se 0.000 0.429 0.250 1
```